## La2DySn (PBE)

Data for La2DySn after structural relaxation.

Output
Total moment, μB/f.u.: 0.00
E_form, meV per atom: 68
VASP energy, eV per atom: -4.547

Cell: 12.549 12.549 12.549 Å, 16.50 16.50 16.50°
Fractional positions:
La 0.088 0.088 0.088
La 0.912 0.912 0.912
Dy 0.500 0.500 0.500
Sn 0.000 0.000 0.000